No. 1
VASP calculation (PBE) on an optimized crystal structure of PrAl3Pd10.

Cell lengths 12.4550, 12.4550, 12.4550 Å; angles 90.00, 90.00, 90.00 degrees
Space group Fm-3m (No. 225)
Symmetry-distinct sites (fractional):
Pr  0.2500  0.2500  0.2500 x8
Al  0.0000  0.0000  0.2308 x24
Pd  0.0000  0.1719  0.3281 x48
Pd  0.1173  0.1173  0.1173 x32

Results
DFT total energy	-613.21	eV per cell
formation enthalpy at 0 K	-623	meV per atom
mass density	8.8	g/cm3



No. 2
VASP calculation (PBE) on an optimized crystal structure of PrAl8Pd4.

Cell lengths 8.9199, 8.9199, 5.4540 Å; angles 90.00, 90.00, 90.00 degrees
Space group I4/mmm (No. 139)
Symmetry-distinct sites (fractional):
Pr  0.0000  0.0000  0.0000 x2
Al  0.0000  0.2231  0.5000 x8
Al  0.0000  0.3491  0.0000 x8
Pd  0.2500  0.2500  0.2500 x8

Results
DFT total energy	-129.62	eV per cell
formation enthalpy at 0 K	-717	meV per atom
mass density	6.0	g/cm3



No. 3
VASP calculation (PBE) on an optimized crystal structure of PrAl6Pd12.

Cell lengths 11.4810, 11.4810, 8.3733 Å; angles 90.00, 90.00, 120.00 degrees
Space group R-3m (No. 166, hexagonal axes)
Symmetry-distinct sites (fractional):
Pr  0.0000  0.0000  0.0000 x3
Al  0.0398  0.5199  0.2534 x18
Pd  0.0000  0.3790  0.5000 x18
Pd  0.0832  0.1664  0.3299 x18

Results
DFT total energy	-310.59	eV per cell
formation enthalpy at 0 K	-736	meV per atom
mass density	8.2	g/cm3



No. 4
VASP calculation (PBE) on an optimized crystal structure of PrAlPd4.

Cell lengths 7.8415, 3.9507, 7.0660 Å; angles 90.00, 90.00, 90.00 degrees
Space group Pmma (No. 51)
Symmetry-distinct sites (fractional):
Pr  0.2500  0.0000  0.1444 x2
Al  0.2500  0.0000  0.7058 x2
Pd  0.0000  0.0000  0.5000 x2
Pd  0.0570  0.5000  0.8055 x4
Pd  0.2500  0.5000  0.4593 x2

Results
DFT total energy	-67.54	eV per cell
formation enthalpy at 0 K	-746	meV per atom
mass density	9.0	g/cm3



No. 5
VASP calculation (PBE) on an optimized crystal structure of PrAl2Pd.

Cell lengths 4.2850, 4.2850, 16.2713 Å; angles 90.00, 90.00, 120.00 degrees
Space group R-3m (No. 166, hexagonal axes)
Symmetry-distinct sites (fractional):
Pr  0.0000  0.0000  0.0000 x3
Al  0.0000  0.0000  0.2078 x6
Pd  0.0000  0.0000  0.5000 x3

Results
DFT total energy	-60.67	eV per cell
formation enthalpy at 0 K	-692	meV per atom
mass density	5.8	g/cm3



No. 6
VASP calculation (PBE) on an optimized crystal structure of Pr4Al12Pd.

Cell lengths 8.8612, 8.8612, 8.8612 Å; angles 90.00, 90.00, 90.00 degrees
Space group Im-3m (No. 229)
Symmetry-distinct sites (fractional):
Pr  0.2500  0.2500  0.2500 x8
Al  0.0000  0.0000  0.2930 x12
Al  0.0000  0.2500  0.5000 x12
Pd  0.0000  0.0000  0.0000 x2

Results
DFT total energy	-155.72	eV per cell
formation enthalpy at 0 K	-508	meV per atom
mass density	4.7	g/cm3



No. 7
VASP calculation (PBE) on an optimized crystal structure of Pr2Al9Pd6.

Cell lengths 5.5107, 5.5107, 12.5107 Å; angles 90.00, 90.00, 120.00 degrees
Space group P6/mmm (No. 191)
Symmetry-distinct sites (fractional):
Pr  0.0000  0.0000  0.1604 x2
Al  0.0000  0.5000  0.0000 x3
Al  0.0000  0.5000  0.3397 x6
Pd  0.3333  0.6667  0.1728 x4
Pd  0.3333  0.6667  0.5000 x2

Results
DFT total energy	-85.31	eV per cell
formation enthalpy at 0 K	-642	meV per atom
mass density	5.9	g/cm3



No. 8
VASP calculation (PBE) on an optimized crystal structure of PrAl3Pd2.

Cell lengths 10.1927, 8.1634, 5.4830 Å; angles 90.00, 90.00, 90.00 degrees
Space group Cmcm (No. 63)
Symmetry-distinct sites (fractional):
Pr  0.0000  0.1588  0.2500 x4
Al  0.0000  0.4450  0.7500 x4
Al  0.1852  0.2201  0.7500 x8
Pd  0.2079  0.5000  0.0000 x8

Results
DFT total energy	-124.50	eV per cell
formation enthalpy at 0 K	-789	meV per atom
mass density	6.3	g/cm3



No. 9
VASP calculation (PBE) on an optimized crystal structure of PrAl11Pd.

Cell lengths 5.2540, 12.6068, 7.4196 Å; angles 90.00, 110.12, 90.00 degrees
Space group C2/m (No. 12)
Symmetry-distinct sites (fractional):
Pr  0.0000  0.0000  0.0000 x2
Al  0.0000  0.0000  0.5000 x2
Al  0.1093  0.3897  0.2279 x8
Al  0.1760  0.1771  0.3571 x8
Al  0.2500  0.2500  0.0000 x4
Pd  0.0000  0.5000  0.5000 x2

Results
DFT total energy	-108.76	eV per cell
formation enthalpy at 0 K	-249	meV per atom
mass density	3.9	g/cm3



No. 10
VASP calculation (PBE) on an optimized crystal structure of Pr2Al3Pd4.

Cell lengths 5.7204, 15.8232, 7.6579 Å; angles 90.00, 90.00, 90.00 degrees
Space group Cmce (No. 64)
Symmetry-distinct sites (fractional):
Pr  0.0000  0.1080  0.0863 x8
Al  0.0000  0.0000  0.5000 x4
Al  0.2500  0.2288  0.7500 x8
Pd  0.0000  0.1848  0.4817 x8
Pd  0.2500  0.0641  0.7500 x8

Results
DFT total energy	-196.48	eV per cell
formation enthalpy at 0 K	-840	meV per atom
mass density	7.6	g/cm3



No. 11
VASP calculation (PBE) on an optimized crystal structure of Pr3Al5Pd6.

Cell lengths 4.2994, 13.6491, 9.4257 Å; angles 90.00, 90.00, 90.00 degrees
Space group Pmmn (No. 59, origin choice 2)
Symmetry-distinct sites (fractional):
Pr  0.2500  0.0431  0.2231 x4
Pr  0.2500  0.7500  0.3120 x2
Al  0.2500  0.0784  0.5724 x4
Al  0.2500  0.6448  0.0012 x4
Al  0.2500  0.7500  0.7472 x2
Pd  0.2500  0.1103  0.8480 x4
Pd  0.2500  0.2500  0.0720 x2
Pd  0.2500  0.2500  0.4162 x2
Pd  0.2500  0.6115  0.5612 x4

Results
DFT total energy	-151.02	eV per cell
formation enthalpy at 0 K	-807	meV per atom
mass density	7.2	g/cm3



No. 12
VASP calculation (PBE) on an optimized crystal structure of Pr3Al3Pd2.

Cell lengths 4.6199, 10.4211, 15.5046 Å; angles 90.00, 90.00, 90.00 degrees
Space group Cmcm (No. 63)
Symmetry-distinct sites (fractional):
Pr  0.0000  0.0840  0.1118 x8
Pr  0.0000  0.3826  0.2500 x4
Al  0.0000  0.3184  0.7500 x4
Al  0.0000  0.3714  0.0341 x8
Pd  0.0000  0.2049  0.6001 x8

Results
DFT total energy	-164.55	eV per cell
formation enthalpy at 0 K	-648	meV per atom
mass density	6.4	g/cm3



No. 13
VASP calculation (PBE) on an optimized crystal structure of PrAl4Pd6.

Cell lengths 7.3466, 7.3466, 3.9501 Å; angles 90.00, 90.00, 120.00 degrees
Space group P-6m2 (No. 187)
Symmetry-distinct sites (fractional):
Pr  0.0000  0.0000  0.0000 x1
Al  0.2022  0.4044  0.5000 x3
Al  0.6667  0.3333  0.0000 x1
Pd  0.0662  0.5331  0.0000 x3
Pd  0.3994  0.1997  0.5000 x3

Results
DFT total energy	-60.47	eV per cell
formation enthalpy at 0 K	-870	meV per atom
mass density	8.0	g/cm3



No. 14
VASP calculation (PBE) on an optimized crystal structure of Pr2Al3Pd2.

Cell lengths 10.9307, 4.2889, 7.2076 Å; angles 90.00, 118.38, 90.00 degrees
Space group C2/m (No. 12)
Symmetry-distinct sites (fractional):
Pr  0.1405  0.0000  0.2738 x4
Al  0.0000  0.5000  0.5000 x2
Al  0.1407  0.5000  0.9334 x4
Pd  0.1350  0.0000  0.7157 x4

Results
DFT total energy	-72.60	eV per cell
formation enthalpy at 0 K	-732	meV per atom
mass density	6.4	g/cm3



No. 15
VASP calculation (PBE) on an optimized crystal structure of PrAl2Pd6.

Cell lengths 11.3405, 11.3405, 11.3405 Å; angles 90.00, 90.00, 90.00 degrees
Space group Fd-3m (No. 227, origin choice 2)
Symmetry-distinct sites (fractional):
Pr  0.1250  0.1250  0.1250 x8
Al  0.0000  0.0000  0.5000 x16
Pd  0.1239  0.3750  0.8750 x48

Results
DFT total energy	-375.65	eV per cell
formation enthalpy at 0 K	-393	meV per atom
mass density	7.6	g/cm3



No. 16
VASP calculation (PBE) on an optimized crystal structure of Pr2Al4PdPt3.

Cell lengths 4.3521, 4.3521, 10.2617 Å; angles 90.00, 90.00, 90.00 degrees
Space group P-4m2 (No. 115)
Symmetry-distinct sites (fractional):
Pr  0.0000  0.5000  0.2491 x2
Al  0.0000  0.0000  0.0000 x1
Al  0.0000  0.5000  0.6254 x2
Al  0.5000  0.5000  0.0000 x1
Pd  0.0000  0.0000  0.5000 x1
Pt  0.0000  0.5000  0.8689 x2
Pt  0.5000  0.5000  0.5000 x1

Results
DFT total energy	-58.54	eV per cell
formation enthalpy at 0 K	-1069	meV per atom
mass density	9.2	g/cm3



No. 17
VASP calculation (PBE) on an optimized crystal structure of Pr2Al4Pd3Pt.

Cell lengths 4.3899, 4.3899, 10.1534 Å; angles 90.00, 90.00, 90.00 degrees
Space group P-4m2 (No. 115)
Symmetry-distinct sites (fractional):
Pr  0.0000  0.5000  0.2483 x2
Al  0.0000  0.0000  0.5000 x1
Al  0.0000  0.5000  0.8756 x2
Al  0.5000  0.5000  0.5000 x1
Pd  0.0000  0.0000  0.0000 x1
Pd  0.0000  0.5000  0.6290 x2
Pt  0.5000  0.5000  0.0000 x1

Results
DFT total energy	-55.27	eV per cell
formation enthalpy at 0 K	-912	meV per atom
mass density	7.7	g/cm3



No. 18
VASP calculation (PBE) on an optimized crystal structure of PrAl4Pd2Pt.

Cell lengths 4.2968, 4.2968, 27.2927 Å; angles 90.00, 90.00, 120.00 degrees
Space group R-3m (No. 166, hexagonal axes)
Symmetry-distinct sites (fractional):
Pr  0.0000  0.0000  0.0000 x3
Al  0.0000  0.0000  0.1338 x6
Al  0.0000  0.0000  0.4050 x6
Pd  0.0000  0.0000  0.2364 x6
Pt  0.0000  0.0000  0.5000 x3

Results
DFT total energy	-127.98	eV per cell
formation enthalpy at 0 K	-811	meV per atom
mass density	7.5	g/cm3



No. 19
VASP calculation (PBE) on an optimized crystal structure of PrAl2Pd2Pt.

Cell lengths 4.6958, 4.6958, 5.6682 Å; angles 90.00, 90.00, 90.00 degrees
Space group P4/mmm (No. 123)
Symmetry-distinct sites (fractional):
Pr  0.0000  0.0000  0.0000 x1
Al  0.0000  0.5000  0.5000 x2
Pd  0.5000  0.5000  0.2452 x2
Pt  0.0000  0.0000  0.5000 x1

Results
DFT total energy	-32.65	eV per cell
formation enthalpy at 0 K	-660	meV per atom
mass density	8.0	g/cm3